[1]
The following is a DFT calculation (GGA-PBE) of ErB2F8 after structural relaxation.

Summary:
* volume: 14.77 Å³ per atom
* formation energy from raw total energies: -2.90 eV/atom
* total magnetization: 0.972 μB per formula unit
* D(E_F): 0.098 states/eV/atom

Unit cell a=5.3827 b=6.0463 c=6.0463 alpha=57.94 beta=78.60 gamma=78.60
Site moments in Bohr magnetons follow the coordinates.
Fractional positions:
Er  0.0000  0.0000  0.0000  0.61
B  0.6586  0.8107  0.8107  0.01
B  0.3414  0.1893  0.1893  0.01
F  0.2318  0.3272  0.9453  0.00
F  0.7682  0.0547  0.6728  0.00
F  0.3848  0.8664  0.8664  0.00
F  0.6152  0.1336  0.1336  0.00
F  0.2318  0.9453  0.3272  0.00
F  0.7682  0.6728  0.0547  0.00
F  0.7035  0.6794  0.6794  0.01
F  0.2965  0.3206  0.3206  0.01


[2]
The following is a DFT calculation (GGA-PBE) of ErBF after structural relaxation.

Summary:
* volume: 12.95 Å³ per atom
* formation energy from raw total energies: -2.04 eV/atom
* total magnetization: 0.000 μB per formula unit
* D(E_F): 0.311 states/eV/atom

Unit cell a=3.3100 b=7.5122 c=6.5260 alpha=73.27 beta=90.00 gamma=90.00
Fractional positions:
Er  0.2500  0.6884  0.7466
Er  0.7500  0.8116  0.2534
Er  0.7500  0.3116  0.2534
Er  0.2500  0.1884  0.7466
F  0.2500  0.8768  0.9929
F  0.7500  0.6232  0.0071
F  0.7500  0.1232  0.0071
F  0.2500  0.3768  0.9929
B  0.2500  0.5102  0.4594
B  0.7500  0.9898  0.5406
B  0.7500  0.4898  0.5406
B  0.2500  0.0102  0.4594


[3]
The following is a DFT calculation (GGA-PBE) of ErFe8B4 after structural relaxation.

Summary:
* calculated formation energy: -9.8 kJ per mole of atoms
* volume: 10.01 Å³ per atom
* total magnetization: 12.504 μB per formula unit
* D(E_F): 0.911 states/eV/atom

Unit cell a=4.4032 b=5.8649 c=5.8649 alpha=81.90 beta=67.95 gamma=67.95
Site moments in Bohr magnetons follow the coordinates.
Fractional positions:
Er  0.0000  0.0000  0.0000  -0.17
Fe  0.0000  0.3502  0.6498  1.75
Fe  0.0000  0.6498  0.3502  1.75
Fe  0.3502  0.6498  0.6498  1.75
Fe  0.6498  0.3502  0.3502  1.75
Fe  0.5000  0.7744  0.2256  1.52
Fe  0.5000  0.2256  0.7744  1.52
Fe  0.2744  0.2256  0.2256  1.52
Fe  0.7256  0.7744  0.7744  1.52
B  0.0000  0.0000  0.5000  -0.10
B  0.5000  0.0000  0.5000  -0.10
B  0.0000  0.5000  0.0000  -0.10
B  0.5000  0.5000  0.0000  -0.10


[4]
The following is a DFT calculation (GGA-PBE) of Er2FeB10 after structural relaxation.

Summary:
* calculated formation energy: -47.2 kJ per mole of atoms
* volume: 9.78 Å³ per atom
* total magnetization: 0.000 μB per formula unit
* D(E_F): 0.132 states/eV/atom

Unit cell a=4.1356 b=5.5561 c=11.0679 alpha=90.00 beta=90.00 gamma=90.00
Fractional positions:
Er  0.5000  0.2820  0.8720
Er  0.5000  0.7180  0.1280
Er  0.5000  0.7820  0.6280
Er  0.5000  0.2180  0.3720
Fe  0.0000  0.5000  0.5000
Fe  0.0000  0.0000  0.0000
B  0.0000  0.1282  0.5391
B  0.0000  0.8718  0.4609
B  0.0000  0.6282  0.9609
B  0.0000  0.3718  0.0391
B  0.0000  0.1555  0.6984
B  0.0000  0.8445  0.3016
B  0.2993  0.2044  0.1136
B  0.2993  0.7956  0.8864
B  0.7007  0.7044  0.3864
B  0.7007  0.2956  0.6136
B  0.7007  0.7956  0.8864
B  0.7007  0.2044  0.1136
B  0.2993  0.2956  0.6136
B  0.2993  0.7044  0.3864
B  0.0000  0.0317  0.1857
B  0.0000  0.9683  0.8143
B  0.0000  0.5317  0.3143
B  0.0000  0.4683  0.6857
B  0.0000  0.3445  0.1984
B  0.0000  0.6555  0.8016


[5]
The following is a DFT calculation (GGA-PBE) of ErFe4B after structural relaxation.

Summary:
* calculated formation energy: -24.2 kJ per mole of atoms
* volume: 12.80 Å³ per atom
* total magnetization: 7.581 μB per formula unit
* D(E_F): 0.725 states/eV/atom

Unit cell a=5.0237 b=5.0237 c=7.0259 alpha=90.00 beta=90.00 gamma=120.00
Site moments in Bohr magnetons follow the coordinates.
Fractional positions:
Er  0.0000  0.0000  0.0000  -0.40
Er  0.0000  0.0000  0.5000  -0.39
Fe  0.6667  0.3333  0.0000  2.44
Fe  0.3333  0.6667  0.0000  2.44
Fe  0.5000  0.5000  0.7141  1.92
Fe  0.5000  0.0000  0.7141  1.92
Fe  0.0000  0.5000  0.7141  1.92
Fe  0.5000  0.5000  0.2859  1.92
Fe  0.5000  0.0000  0.2859  1.92
Fe  0.0000  0.5000  0.2859  1.92
B  0.6667  0.3333  0.5000  -0.13
B  0.3333  0.6667  0.5000  -0.13


[6]
The following is a DFT calculation (GGA-PBE) of ErFeB2 after structural relaxation.

Summary:
* calculated formation energy: -32.0 kJ per mole of atoms
* volume: 11.92 Å³ per atom
* distance to the lowest polymorph of the same formula: 0.150 eV per atom
* total magnetization: 0.000 μB per formula unit
* D(E_F): 0.708 states/eV/atom

Unit cell a=3.5937 b=3.4148 c=4.9691 alpha=71.16 beta=68.80 gamma=58.25
Fractional positions:
Er  0.5000  0.0000  0.0000
Fe  0.0000  0.5000  0.5000
B  0.6798  0.2291  0.4113
B  0.3202  0.7709  0.5887


[7]
The following is a DFT calculation (GGA-PBE) of ErFeB4 after structural relaxation.

Summary:
* calculated formation energy: -25.3 kJ per mole of atoms
* volume: 9.92 Å³ per atom
* distance to the lowest polymorph of the same formula: 0.375 eV per atom
* total magnetization: 2.479 μB per formula unit
* D(E_F): 0.367 states/eV/atom

Unit cell a=3.1222 b=4.7245 c=4.7245 alpha=68.72 beta=70.70 gamma=70.70
Site moments in Bohr magnetons follow the coordinates.
Fractional positions:
Er  0.0000  0.0000  0.0000  -0.10
Fe  0.5000  0.5000  0.5000  2.53
B  0.2506  0.4174  0.0814  0.02
B  0.2506  0.0814  0.4174  0.02
B  0.7494  0.5826  0.9186  0.02
B  0.7494  0.9186  0.5826  0.02


[8]
The following is a DFT calculation (GGA-PBE) of ErFe9B4 after structural relaxation.

Summary:
* calculated formation energy: -16.9 kJ per mole of atoms
* volume: 10.51 Å³ per atom
* total magnetization: 14.662 μB per formula unit
* D(E_F): 0.832 states/eV/atom

Unit cell a=7.3157 b=7.3158 c=7.5492 alpha=118.98 beta=118.98 gamma=90.00
Site moments in Bohr magnetons follow the coordinates.
Fractional positions:
Er  0.7483  0.7483  0.4966  -0.23
Er  0.2517  0.2517  0.5034  -0.23
Fe  0.1917  0.1077  0.0000  1.89
Fe  0.8083  0.8923  0.0000  1.89
Fe  0.5839  0.3011  0.0000  1.82
Fe  0.4161  0.6989  0.0000  1.82
Fe  0.3012  0.4161  0.0000  1.82
Fe  0.6988  0.5839  0.0000  1.82
Fe  0.1077  0.8083  0.0000  1.89
Fe  0.8923  0.1917  0.0000  1.89
Fe  0.0000  0.5000  0.0000  1.79
Fe  0.5000  0.0000  0.0000  1.79
Fe  0.8279  0.3016  0.3558  1.58
Fe  0.5279  0.0542  0.3558  1.58
Fe  0.9458  0.1721  0.6442  1.58
Fe  0.6984  0.4722  0.6442  1.58
Fe  0.1721  0.6984  0.6442  1.58
Fe  0.4721  0.9458  0.6442  1.58
Fe  0.3016  0.5278  0.3558  1.58
Fe  0.0542  0.8279  0.3558  1.58
B  0.3242  0.7631  0.2714  -0.14
B  0.9472  0.5083  0.2714  -0.14
B  0.4917  0.6758  0.7286  -0.14
B  0.2368  0.0528  0.7286  -0.14
B  0.6758  0.2368  0.7286  -0.14
B  0.0528  0.4917  0.7286  -0.14
B  0.7632  0.9472  0.2714  -0.14
B  0.5083  0.3242  0.2714  -0.14


[9]
The following is a DFT calculation (GGA-PBE) of ErFeB4 after structural relaxation.

Summary:
* calculated formation energy: -61.5 kJ per mole of atoms
* volume: 9.29 Å³ per atom
* distance to the lowest polymorph of the same formula: 0.000 eV per atom
* total magnetization: 0.000 μB per formula unit
* D(E_F): 0.354 states/eV/atom

Unit cell a=3.3516 b=5.8652 c=11.3430 alpha=90.00 beta=90.00 gamma=90.00
Fractional positions:
Er  0.0000  0.6270  0.3498
Er  0.0000  0.3730  0.6502
Er  0.0000  0.1270  0.1502
Er  0.0000  0.8730  0.8498
Fe  0.0000  0.6334  0.0887
Fe  0.0000  0.3666  0.9113
Fe  0.0000  0.1334  0.4113
Fe  0.0000  0.8666  0.5887
B  0.5000  0.7831  0.1840
B  0.5000  0.2169  0.8160
B  0.5000  0.2831  0.3160
B  0.5000  0.7169  0.6840
B  0.5000  0.8615  0.0316
B  0.5000  0.1385  0.9684
B  0.5000  0.3615  0.4684
B  0.5000  0.6385  0.5316
B  0.5000  0.8883  0.4538
B  0.5000  0.1117  0.5462
B  0.5000  0.3883  0.0462
B  0.5000  0.6117  0.9538
B  0.5000  0.9756  0.3091
B  0.5000  0.0244  0.6909
B  0.5000  0.4756  0.1909
B  0.5000  0.5244  0.8091